EuGaAg4 | PBE-GGA | optimized geometry

abc: 5.6321 5.6321 5.6321
angles: 60.00 60.00 60.00
Atoms (fractional coordinates):
Eu 0.0000 0.0000 0.0000
Ga 0.7500 0.7500 0.7500
Ag 0.3754 0.3754 0.3754
Ag 0.3754 0.3754 0.8738
Ag 0.3754 0.8738 0.3754
Ag 0.8738 0.3754 0.3754

Results
**Symmetry**: No. 216
**Crystal system**: cubic

=====

EuGaAg | PBE-GGA | optimized geometry

abc: 5.9505 5.9505 5.9505
angles: 144.44 144.44 51.17
Atoms (fractional coordinates):
Eu 0.0000 0.0000 0.0000
Ga 0.6898 0.6898 0.0000
Ag 0.3015 0.3015 0.0000

Results
**Symmetry**: No. 107
**Crystal system**: tetragonal

=====

EuGaAg | PBE-GGA | optimized geometry

abc: 5.9014 5.9014 7.6693
angles: 129.31 129.31 47.62
Atoms (fractional coordinates):
Eu 0.0489 0.0489 0.3050
Eu 0.9511 0.9511 0.6950
Ga 0.3415 0.3415 0.8941
Ga 0.6585 0.6585 0.1059
Ag 0.3259 0.3259 0.2596
Ag 0.6741 0.6741 0.7404

Results
**Symmetry**: No. 12
**Crystal system**: monoclinic

=====

EuGaAg4 | PBE-GGA | optimized geometry

abc: 5.5666 5.5666 4.6144
angles: 90.00 90.00 116.81
Atoms (fractional coordinates):
Eu 0.0000 0.0000 0.0000
Ga 0.5000 0.5000 0.5000
Ag 0.0000 0.5000 0.5000
Ag 0.3428 0.6572 0.0000
Ag 0.5000 0.0000 0.5000
Ag 0.6572 0.3428 0.0000

Results
**Symmetry**: No. 65
**Crystal system**: orthorhombic

=====

EuGaAgHg | PBE-GGA | optimized geometry

abc: 5.0440 5.0440 5.0440
angles: 60.00 60.00 60.00
Atoms (fractional coordinates):
Eu 0.0000 0.0000 0.0000
Ga 0.2500 0.2500 0.2500
Ag 0.5000 0.5000 0.5000
Hg 0.7500 0.7500 0.7500

Results
**Symmetry**: No. 216
**Crystal system**: cubic

=====

EuHoGaAg | PBE-GGA | optimized geometry

abc: 5.2033 5.2033 5.2033
angles: 60.00 60.00 60.00
Atoms (fractional coordinates):
Eu 0.0000 0.0000 0.0000
Ho 0.5000 0.5000 0.5000
Ga 0.2500 0.2500 0.2500
Ag 0.7500 0.7500 0.7500

Results
**Symmetry**: No. 216
**Crystal system**: cubic

=====

LaEuGaAg | PBE-GGA | optimized geometry

abc: 5.3647 5.3647 5.3647
angles: 60.00 60.00 60.00
Atoms (fractional coordinates):
La 0.0000 0.0000 0.0000
Eu 0.5000 0.5000 0.5000
Ga 0.7500 0.7500 0.7500
Ag 0.2500 0.2500 0.2500

Results
**Symmetry**: No. 216
**Crystal system**: cubic

=====

EuMgGaAg | PBE-GGA | optimized geometry

abc: 5.0374 5.0374 5.0374
angles: 60.00 60.00 60.00
Atoms (fractional coordinates):
Eu 0.0000 0.0000 0.0000
Mg 0.5000 0.5000 0.5000
Ga 0.2500 0.2500 0.2500
Ag 0.7500 0.7500 0.7500

Results
**Symmetry**: No. 216
**Crystal system**: cubic

=====

NaEuGaAg | PBE-GGA | optimized geometry

abc: 5.2131 5.2131 5.2131
angles: 60.00 60.00 60.00
Atoms (fractional coordinates):
Na 0.0000 0.0000 0.0000
Eu 0.5000 0.5000 0.5000
Ga 0.7500 0.7500 0.7500
Ag 0.2500 0.2500 0.2500

Results
**Symmetry**: No. 216
**Crystal system**: cubic

=====

NdEuGaAg | PBE-GGA | optimized geometry

abc: 5.3081 5.3081 5.3081
angles: 60.00 60.00 60.00
Atoms (fractional coordinates):
Nd 0.0000 0.0000 0.0000
Eu 0.5000 0.5000 0.5000
Ga 0.7500 0.7500 0.7500
Ag 0.2500 0.2500 0.2500

Results
**Symmetry**: No. 216
**Crystal system**: cubic

=====

EuGaAgPb | PBE-GGA | optimized geometry

abc: 5.1921 5.1921 5.1921
angles: 60.00 60.00 60.00
Atoms (fractional coordinates):
Eu 0.0000 0.0000 0.0000
Ga 0.2500 0.2500 0.2500
Ag 0.7500 0.7500 0.7500
Pb 0.5000 0.5000 0.5000

Results
**Symmetry**: No. 216
**Crystal system**: cubic

=====

PrEuGaAg | PBE-GGA | optimized geometry

abc: 5.3304 5.3304 5.3304
angles: 60.00 60.00 60.00
Atoms (fractional coordinates):
Pr 0.0000 0.0000 0.0000
Eu 0.5000 0.5000 0.5000
Ga 0.7500 0.7500 0.7500
Ag 0.2500 0.2500 0.2500

Results
**Symmetry**: No. 216
**Crystal system**: cubic

=====

no.,formation energy from the elements (eV per atom),total energy (eV per formula unit)
1,-0.145,-25.6
2,-0.266,-17.0
3,-0.414,-17.4
4,-0.218,-26.0
5,-0.287,-17.6
6,-0.383,-22.3
7,-0.399,-22.7
8,-0.312,-19.0
9,-0.134,-18.0
10,-0.381,-22.4
11,-0.271,-20.9
12,-0.379,-22.4